Record 1
A plane-wave DFT calculation with SCAN was carried out for a crystal of ZnTeCl2 relaxed with PBEsol.

a = 4.8650 Å, b = 4.8650 Å, c = 4.8650 Å
α = 60.00°, β = 60.00°, γ = 60.00°
Fractional coordinates of all 4 atoms:
1 Cl 0.0000 0.0000 0.0000
2 Te 0.5000 0.5000 0.5000
3 Cl 0.7500 0.7500 0.7500
4 Zn 0.2500 0.2500 0.2500

Properties
The distance to the lowest polymorph of the same formula is 654 meV/atom. Its space group is F-43m (216). For the formation energy from raw total energies, the calculation gives 131 meV/atom. The crystal system is cubic.

Record 2
A plane-wave DFT calculation with SCAN was carried out for a crystal of NbCr2AgH relaxed with PBEsol.

a = 4.8787 Å, b = 4.8787 Å, c = 5.0232 Å
α = 90.00°, β = 90.00°, γ = 90.00°
Each line ends with the local moment (μB).
Fractional coordinates of all 5 atoms:
1 Nb 0.0000 0.0000 0.5000  -2.18
2 Cr 0.5000 0.0000 0.0000  4.04
3 Ag 0.0000 0.0000 0.0000  0.07
4 Cr 0.0000 0.5000 0.0000  4.04
5 H 0.5000 0.5000 0.5000  0.19

Properties
Its space group is P4/mmm (123). The crystal system is tetragonal. For the energy, the calculation gives -95.506 eV per cell.

Record 3
A plane-wave DFT calculation with SCAN was carried out for a crystal of KTl2In relaxed with PBEsol.

a = 3.8358 Å, b = 3.8362 Å, c = 8.1542 Å
α = 90.00°, β = 90.00°, γ = 90.49°
Fractional coordinates of all 4 atoms:
1 Tl 0.0000 0.0000 0.7091
2 In 0.5000 0.5000 0.5000
3 Tl 0.0000 0.0000 0.2909
4 K 0.5000 0.5000 0.0000

Properties
Its space group is Cmmm (65). The energy of formation from the pure elements comes out at -14.4 kJ/mol of atoms. The crystal system is orthorhombic.

Record 4
A plane-wave DFT calculation with SCAN was carried out for a crystal of Zr2Ti2Tl relaxed with PBEsol.

a = 3.7887 Å, b = 7.2318 Å, c = 7.2318 Å
α = 90.00°, β = 90.00°, γ = 90.00°
Fractional coordinates of all 10 atoms:
1 Zr 0.5000 0.6691 0.8309
2 Ti 0.0000 0.6286 0.1286
3 Tl 0.0000 0.0000 0.0000
4 Ti 0.0000 0.3714 0.8714
5 Zr 0.5000 0.1691 0.6691
6 Zr 0.5000 0.8309 0.3309
7 Zr 0.5000 0.3309 0.1691
8 Ti 0.0000 0.8714 0.6286
9 Tl 0.0000 0.5000 0.5000
10 Ti 0.0000 0.1286 0.3714

Properties
Its space group is P4/mbm (127). The energy of formation from the pure elements comes out at -5.8 kJ/mol of atoms. The crystal system is tetragonal.

Record 5
A plane-wave DFT calculation with SCAN was carried out for a crystal of NbSb3Se relaxed with PBEsol.

a = 5.1852 Å, b = 5.1852 Å, c = 5.1852 Å
α = 90.00°, β = 90.00°, γ = 90.00°
Each line ends with the local moment (μB).
Fractional coordinates of all 5 atoms:
1 Se 0.0000 0.0000 0.0000  -0.01
2 Sb 0.0000 0.5000 0.0000  -0.06
3 Nb 0.5000 0.5000 0.5000  2.25
4 Sb 0.5000 0.0000 0.0000  -0.06
5 Sb 0.0000 0.0000 0.5000  -0.06

Properties
Its space group is Pm-3m (221). For the formation energy from raw total energies, the calculation gives 1086 meV/atom. The crystal system is cubic.

Record 6
A plane-wave DFT calculation with SCAN was carried out for a crystal of Li2AlTl relaxed with PBEsol.

a = 4.1225 Å, b = 4.1225 Å, c = 5.1556 Å
α = 113.57°, β = 113.57°, γ = 90.00°
Fractional coordinates of all 4 atoms:
1 Li 0.7500 0.2500 0.5000
2 Tl 0.0000 0.0000 0.0000
3 Li 0.2500 0.7500 0.5000
4 Al 0.5000 0.5000 0.0000

Properties
Its space group is I4/mmm (139). The energy of formation from the pure elements comes out at -18.7 kJ/mol of atoms. The crystal system is tetragonal.

Record 7
A plane-wave DFT calculation with SCAN was carried out for a crystal of ZrSi2Br relaxed with PBEsol.

a = 3.5584 Å, b = 4.9485 Å, c = 5.1128 Å
α = 118.94°, β = 110.36°, γ = 90.00°
Fractional coordinates of all 4 atoms:
1 Si 0.0343 0.0343 0.0687
2 Br 0.2697 0.7697 0.5394
3 Si 0.7099 0.2099 0.4197
4 Zr 0.4861 0.4861 0.9722

Properties
The distance to the lowest polymorph of the same formula is 208 meV/atom. Its space group is Imm2 (44). For the formation energy from raw total energies, the calculation gives -38 meV/atom. The crystal system is orthorhombic.

Record 8
A plane-wave DFT calculation with SCAN was carried out for a crystal of CaTaOs2 relaxed with PBEsol.

a = 3.1081 Å, b = 4.4152 Å, c = 4.7995 Å
α = 90.00°, β = 90.00°, γ = 90.00°
Fractional coordinates of all 4 atoms:
1 Ta 0.5000 0.5000 0.0000
2 Os 0.5000 0.0000 0.5000
3 Os 0.0000 0.0000 0.0000
4 Ca 0.0000 0.5000 0.5000

Properties
The distance to the lowest polymorph of the same formula is 688 meV/atom. Its space group is Pmmm (47). The energy of formation from the pure elements comes out at 57.7 kJ/mol of atoms. The crystal system is orthorhombic.

Record 9
A plane-wave DFT calculation with SCAN was carried out for a crystal of NaInFeAg2 relaxed with PBEsol.

a = 5.0585 Å, b = 5.0585 Å, c = 5.2775 Å
α = 90.00°, β = 90.00°, γ = 90.00°
Each line ends with the local moment (μB).
Fractional coordinates of all 5 atoms:
1 Fe 0.5000 0.5000 0.5000  3.53
2 Ag 0.5000 0.0000 0.0000  0.02
3 In 0.0000 0.0000 0.0000  0.00
4 Na 0.0000 0.0000 0.5000  -0.01
5 Ag 0.0000 0.5000 0.0000  0.02

Properties
Its space group is P4/mmm (123). The energy of formation from the pure elements comes out at 99.6 kJ/mol of atoms. The crystal system is tetragonal.

Record 10
A plane-wave DFT calculation with SCAN was carried out for a crystal of CaScSi2 relaxed with PBEsol.

a = 4.7980 Å, b = 4.7980 Å, c = 4.7980 Å
α = 60.00°, β = 60.00°, γ = 60.00°
Fractional coordinates of all 4 atoms:
1 Ca 0.0000 0.0000 0.0000
2 Si 0.7500 0.7500 0.7500
3 Si 0.2500 0.2500 0.2500
4 Sc 0.5000 0.5000 0.5000

Properties
The distance to the lowest polymorph of the same formula is 214 meV/atom. Its space group is Fm-3m (225). For the formation energy from raw total energies, the calculation gives -234 meV/atom. The crystal system is cubic.

Record 11
A plane-wave DFT calculation with SCAN was carried out for a crystal of GeIBr relaxed with PBEsol.

a = 4.0809 Å, b = 4.0809 Å, c = 6.6232 Å
α = 90.00°, β = 90.00°, γ = 120.00°
Fractional coordinates of all 3 atoms:
1 Br 0.6667 0.3333 0.6244
2 I 0.3333 0.6667 0.1273
3 Ge 0.0000 0.0000 0.8574

Properties
Its space group is P3m1 (156). For the formation energy from raw total energies, the calculation gives -406 meV/atom. The crystal system is trigonal.

Record 12
A plane-wave DFT calculation with SCAN was carried out for a crystal of SrTiSbI2 relaxed with PBEsol.

a = 5.9969 Å, b = 5.9969 Å, c = 6.3623 Å
α = 90.00°, β = 90.00°, γ = 90.00°
Each line ends with the local moment (μB).
Fractional coordinates of all 5 atoms:
1 I 0.0000 0.5000 0.0000  -0.04
2 I 0.5000 0.0000 0.0000  -0.04
3 Ti 0.5000 0.5000 0.5000  2.10
4 Sr 0.0000 0.0000 0.0000  -0.03
5 Sb 0.0000 0.0000 0.5000  -0.59

Properties
Its space group is P4/mmm (123). For the formation energy from raw total energies, the calculation gives 143 meV/atom. The crystal system is tetragonal.

Table of calculated volume (Å³ per atom), in record order: 20.36, 23.91, 30.00, 19.81, 27.88, 18.07, 18.07, 16.47, 27.01, 19.53, 31.84, 45.76